No. 1
Ba2Cd | the Alexandria database | GGA-PBE | relaxed; total energy = -5.1 eV per cell; space-group type = Fm-3m; formation energy from the elements = -0.11 eV per atom; density = 4.211 g cm⁻³; magnetization = 0.00 Bohr magnetons per cell
1.0
5.997 0.000 0.000
0.000 5.997 0.000
-2.999 -2.998 4.244
Ba Cd
2 1
Direct
0.750 0.250 0.500
0.250 0.750 0.500
0.000 0.000 0.000

***

No. 2
Ac6Tl6Ge | the Alexandria database | GGA-PBE | relaxed; total energy = -46.4 eV per cell; space-group type = P6/mmm; formation energy from the elements = -0.23 eV per atom; density = 9.260 g cm⁻³; magnetization = 0.00 Bohr magnetons per cell
1.0
6.963 0.000 0.000
-3.481 6.031 0.000
0.000 0.000 11.362
Ac Tl Ge
6 6 1
Direct
0.000 0.000 0.728
0.000 0.000 0.272
0.333 0.667 0.000
0.667 0.333 0.000
0.333 0.667 0.500
0.667 0.333 0.500
0.000 0.500 0.746
0.500 0.000 0.746
0.500 0.500 0.746
0.500 0.000 0.254
0.000 0.500 0.254
0.500 0.500 0.254
0.000 0.000 0.000

***

No. 3
K3PaCl8 | the Alexandria database | GGA-PBE | relaxed; total energy = -50.1 eV per cell; space-group type = Pm-3m; formation energy (no corrections) = -1874 meV/atom; density = 2.852 g cm⁻³; magnetization = 0.00 Bohr magnetons per cell
1.0
7.166 0.000 0.000
0.000 7.166 0.000
0.000 0.000 7.166
K Pa Cl
3 1 8
Direct
0.500 0.500 0.000
0.500 0.000 0.500
0.000 0.500 0.500
0.000 0.000 0.000
0.221 0.221 0.779
0.221 0.779 0.221
0.779 0.221 0.221
0.779 0.779 0.779
0.779 0.779 0.221
0.779 0.221 0.779
0.221 0.779 0.779
0.221 0.221 0.221

***

No. 4
RbNa2Bi | the Alexandria database | GGA-PBE | relaxed; total energy = -8.1 eV per cell; space-group type = P4/mmm; formation energy from the elements = -0.16 eV per atom; density = 3.863 g cm⁻³; magnetization = 0.00 Bohr magnetons per cell
1.0
4.849 0.000 0.000
0.000 5.493 0.000
0.000 0.000 5.493
Na Bi Rb
2 1 1
Direct
0.000 0.000 0.500
0.000 0.500 0.000
0.500 0.000 0.000
0.500 0.500 0.500

***

No. 5
Ce2PuZrAs4 | the Alexandria database | GGA-PBE | relaxed; total energy = -63.5 eV per cell; space-group type = P2/m; formation energy from the elements = -1.27 eV per atom; density = 7.782 g cm⁻³; magnetization = 6.59 Bohr magnetons per cell
1.0
4.102 0.000 0.000
0.000 7.112 0.135
0.000 -2.474 6.647
Ce Pu Zr As
2 1 1 4
Direct
0.500 0.000 0.500
0.000 0.500 0.500
0.500 0.500 0.000
0.000 0.000 0.000
0.500 0.237 0.235
0.500 0.763 0.765
0.000 0.245 0.761
0.000 0.755 0.239

***

No. 6
Cs2PrAs2Se6 | the Alexandria database | GGA-PBE | relaxed; total energy = -45.2 eV per cell; space-group type = C2/m; formation energy (no corrections) = -776 meV/atom; density = 4.292 g cm⁻³; magnetization = 0.00 Bohr magnetons per cell
1.0
-1.916 -4.200 6.049
-0.172 -3.059 -6.964
8.336 1.202 3.474
Cs Pr As Se
2 1 2 6
Direct
0.712 0.423 0.201
0.288 0.577 0.799
0.500 0.000 0.500
0.954 0.909 0.820
0.046 0.091 0.180
0.749 0.499 0.625
0.211 0.909 0.213
0.302 0.091 0.787
0.789 0.091 0.787
0.698 0.909 0.213
0.251 0.501 0.375

***

No. 7
Ce4HoN5 | the Alexandria database | GGA-PBE | relaxed; total energy = -85.3 eV per cell; space-group type = I4/m; formation energy (no corrections) = -1534 meV/atom; density = 8.373 g cm⁻³; magnetization = 1.20 Bohr magnetons per cell
1.0
-4.197 -2.703 -0.478
0.439 -5.722 2.192
-3.826 0.441 4.786
Ce Ho N
4 1 5
Direct
0.401 0.399 0.801
0.800 0.801 0.601
0.202 0.199 0.399
0.601 0.601 0.199
0.001 0.000 0.000
0.901 0.396 0.804
0.297 0.804 0.604
0.705 0.196 0.396
0.101 0.604 0.196
0.501 0.000 0.000

***

No. 8
TiTcAsRh | the Alexandria database | GGA-PBE | relaxed; total energy = -31.9 eV per cell; space-group type = F-43m; formation energy from the elements = -0.41 eV per atom; density = 9.165 g cm⁻³; magnetization = 0.02 Bohr magnetons per cell
1.0
-2.927 1.947 2.581
-3.487 -2.214 1.400
-0.313 -1.149 4.195
As Rh Tc Ti
1 1 1 1
Direct
0.750 0.750 0.750
0.500 0.500 0.500
0.000 0.000 0.000
0.250 0.250 0.250

***

No. 9
Pm3HoSn12 | the Alexandria database | GGA-PBE | relaxed; total energy = -74.4 eV per cell; space-group type = P4/mmm; formation energy from the elements = -0.47 eV per atom; density = 7.872 g cm⁻³; magnetization = 0.00 Bohr magnetons per cell
1.0
4.764 0.000 0.000
0.000 4.764 0.000
0.000 0.000 18.814
Pm Ho Sn
3 1 12
Direct
0.000 0.000 0.249
0.000 0.000 0.500
0.000 0.000 0.751
0.000 0.000 0.000
0.500 0.500 0.000
0.500 0.500 0.248
0.500 0.500 0.500
0.500 0.500 0.752
0.500 0.000 0.122
0.500 0.000 0.374
0.500 0.000 0.626
0.500 0.000 0.878
0.000 0.500 0.122
0.000 0.500 0.374
0.000 0.500 0.626
0.000 0.500 0.878

***

No. 10
LaMgGe2 | the Alexandria database | GGA-PBE | relaxed; total energy = -17.7 eV per cell; space-group type = P4/mmm; formation energy from the elements = -0.48 eV per atom; density = 5.590 g cm⁻³; magnetization = 0.00 Bohr magnetons per cell
1.0
-1.095 3.977 -1.083
-4.276 -0.733 1.632
1.335 1.505 4.176
Ge Mg La
2 1 1
Direct
0.000 0.000 0.500
0.000 0.500 0.000
0.500 0.000 0.000
0.500 0.500 0.500

***

No. 11
TaMn2Fe | the Alexandria database | GGA-PBE | relaxed; total energy = -73.3 eV per cell; space-group type = I-42d; formation energy from the elements = 0.50 eV per atom; density = 10.385 g cm⁻³; magnetization = 7.99 Bohr magnetons per cell
1.0
-1.255 2.725 -5.916
0.790 -5.916 -2.893
-2.689 -2.071 -4.103
Mn Fe Ta
4 2 2
Direct
0.588 0.125 0.250
0.162 0.625 0.250
0.375 0.412 0.750
0.875 0.838 0.750
0.500 0.500 0.000
0.250 0.750 0.500
0.000 0.000 0.000
0.750 0.250 0.500

***

No. 12
ScSiCl | the Alexandria database | GGA-PBE | relaxed; total energy = -13.3 eV per cell; space-group type = F-43m; formation energy (no corrections) = 93 meV/atom; density = 2.920 g cm⁻³; magnetization = 0.00 Bohr magnetons per cell
1.0
-1.333 2.329 3.532
-0.154 -1.922 3.995
2.925 1.152 3.129
Cl Sc Si
1 1 1
Direct
0.750 0.750 0.750
0.000 0.000 0.000
0.500 0.500 0.500

***

No. 13
Dy3Th3Sc | the Alexandria database | GGA-PBE | relaxed; total energy = -80.2 eV per cell; space-group type = R-3; formation energy from the elements = 0.33 eV per atom; density = 8.778 g cm⁻³; magnetization = 0.00 Bohr magnetons per cell; energy relative to the lowest polymorph listed for this composition = 275 meV/atom
1.0
7.791 0.433 3.953
2.611 7.353 3.953
0.579 0.433 8.717
Dy Th Sc
6 6 2
Direct
0.734 0.558 0.066
0.066 0.734 0.558
0.558 0.066 0.734
0.442 0.934 0.266
0.934 0.266 0.442
0.266 0.442 0.934
0.701 0.205 0.936
0.205 0.936 0.701
0.936 0.701 0.205
0.064 0.299 0.795
0.795 0.064 0.299
0.299 0.795 0.064
0.346 0.346 0.346
0.654 0.654 0.654

***

No. 14
Ni2HgPt2 | the Alexandria database | GGA-PBE | relaxed; total energy = -47.0 eV per cell; space-group type = P4/mbm; formation energy from the elements = 0.09 eV per atom; density = 15.290 g cm⁻³; magnetization = 2.80 Bohr magnetons per cell; energy relative to the lowest polymorph listed for this composition = 0 meV/atom
1.0
7.422 0.000 0.000
0.000 7.422 0.000
0.000 0.000 2.792
Ni Hg Pt
4 2 4
Direct
0.164 0.664 0.500
0.664 0.836 0.500
0.836 0.336 0.500
0.336 0.164 0.500
0.000 0.000 0.000
0.500 0.500 0.000
0.367 0.867 0.000
0.867 0.633 0.000
0.633 0.133 0.000
0.133 0.367 0.000

***

No. 15
PaCo4Pd | the Alexandria database | GGA-PBE | relaxed; total energy = -44.4 eV per cell; space-group type = F-43m; formation energy from the elements = -0.22 eV per atom; density = 11.333 g cm⁻³; magnetization = 4.78 Bohr magnetons per cell
1.0
-2.084 0.698 4.397
-2.303 -3.717 2.246
1.973 -2.051 4.008
Pa Co Pd
1 4 1
Direct
0.250 0.250 0.250
0.626 0.626 0.122
0.626 0.122 0.626
0.626 0.626 0.626
0.122 0.626 0.626
0.000 0.000 0.000

***

No. 16
Y3ThSc7 | the Alexandria database | GGA-PBE | relaxed; total energy = -67.4 eV per cell; space-group type = C2/m; formation energy from the elements = 0.34 eV per atom; density = 4.334 g cm⁻³; magnetization = 0.00 Bohr magnetons per cell
1.0
5.519 -0.230 -0.295
-2.402 7.541 1.205
-2.402 -0.660 7.609
Y Th Sc
3 1 7
Direct
0.000 0.791 0.209
0.500 0.000 0.000
0.000 0.209 0.791
0.500 0.500 0.500
0.209 0.209 0.209
0.282 0.974 0.590
0.718 0.410 0.026
0.282 0.590 0.974
0.000 0.500 0.500
0.718 0.026 0.410
0.791 0.791 0.791

***

No. 17
Np2Fe5Si2W | the Alexandria database | GGA-PBE | relaxed; total energy = -184.6 eV per cell; space-group type = P4/mbm; formation energy (no corrections) = -31 meV/atom; density = 11.479 g cm⁻³; magnetization = 5.51 Bohr magnetons per cell
1.0
2.925 0.000 0.000
0.000 9.912 0.000
0.000 0.000 9.912
Np Fe Si W
4 10 4 2
Direct
0.000 0.677 0.177
0.000 0.323 0.823
0.000 0.177 0.323
0.000 0.823 0.677
0.500 0.208 0.039
0.500 0.792 0.961
0.500 0.039 0.792
0.500 0.708 0.461
0.500 0.961 0.208
0.500 0.292 0.539
0.500 0.539 0.708
0.500 0.461 0.292
0.500 0.500 0.000
0.500 0.000 0.500
0.000 0.125 0.625
0.000 0.875 0.375
0.000 0.625 0.875
0.000 0.375 0.125
0.000 0.000 0.000
0.000 0.500 0.500

***

No. 18
CdHg2SbW | the Alexandria database | GGA-PBE | relaxed; total energy = -12.5 eV per cell; space-group type = P4/mmm; formation energy (no corrections) = 1227 meV/atom; density = 7.586 g cm⁻³; magnetization = 3.82 Bohr magnetons per cell
1.0
5.809 0.000 0.000
0.000 5.315 0.000
0.000 0.000 5.809
Sb Hg W Cd
1 2 1 1
Direct
0.000 0.000 0.000
0.000 0.000 0.500
0.500 0.000 0.000
0.000 0.500 0.000
0.500 0.500 0.500

***

No. 19
NaCaPd2Se | the Alexandria database | GGA-PBE | relaxed; total energy = -16.7 eV per cell; space-group type = P4/mmm; formation energy (no corrections) = 108 meV/atom; density = 4.110 g cm⁻³; magnetization = 0.00 Bohr magnetons per cell
1.0
5.109 0.000 0.000
0.000 5.493 0.000
0.000 0.000 5.109
Na Ca Se Pd
1 1 1 2
Direct
0.500 0.500 0.500
0.000 0.000 0.000
0.000 0.500 0.000
0.000 0.000 0.500
0.500 0.000 0.000

***

No. 20
Cs2FeI | the Alexandria database | GGA-PBE | relaxed; total energy = -11.2 eV per cell; space-group type = Fm-3m; formation energy (no corrections) = 122 meV/atom; density = 3.753 g cm⁻³; magnetization = 3.00 Bohr magnetons per cell
1.0
-3.610 1.115 5.348
-5.512 -3.391 0.994
-0.270 -4.486 4.762
Cs I Fe
2 1 1
Direct
0.250 0.250 0.250
0.750 0.750 0.750
0.500 0.500 0.500
0.000 0.000 0.000

***

No. 21
Ce3Tl3AgS8 | the Alexandria database | GGA-PBE | relaxed; total energy = -77.9 eV per cell; space-group type = R-3m; formation energy (no corrections) = -1140 meV/atom; density = 5.480 g cm⁻³; magnetization = 0.42 Bohr magnetons per cell
1.0
8.117 0.000 0.000
-4.058 7.030 -0.026
0.000 -4.660 7.440
Ce Tl Ag S
3 3 1 8
Direct
0.500 0.000 0.500
0.500 0.500 0.500
0.000 0.500 0.500
0.000 0.000 0.000
0.000 0.500 0.000
0.500 0.500 0.000
0.000 0.000 0.500
0.265 0.531 0.296
0.735 0.469 0.704
0.761 0.521 0.303
0.239 0.479 0.697
0.761 0.043 0.303
0.239 0.957 0.697
0.282 0.043 0.303
0.718 0.957 0.697

***

No. 22
ZnGeTe | the Alexandria database | GGA-PBE | relaxed; total energy = -26.2 eV per cell; space-group type = R3m; formation energy (no corrections) = 103 meV/atom; density = 5.482 g cm⁻³; magnetization = 0.00 Bohr magnetons per cell; energy relative to the lowest polymorph listed for this composition = 76 meV/atom
1.0
4.011 0.000 0.000
-2.005 3.474 0.000
0.000 0.000 17.328
Ge Te Zn
3 3 3
Direct
0.000 0.000 0.235
0.333 0.667 0.902
0.667 0.333 0.568
0.000 0.000 0.074
0.333 0.667 0.741
0.667 0.333 0.407
0.000 0.000 0.826
0.333 0.667 0.493
0.667 0.333 0.160

***

No. 23
BaNd6S8 | the Alexandria database | GGA-PBE | relaxed; total energy = -89.9 eV per cell; space-group type = R-3; formation energy (no corrections) = -1754 meV/atom; density = 3.952 g cm⁻³; magnetization = 0.00 Bohr magnetons per cell
1.0
8.117 -0.254 -0.263
-0.507 8.106 -0.263
-0.507 -0.524 8.093
Ba Nd S
1 6 8
Direct
0.000 0.000 0.000
0.638 0.434 0.811
0.434 0.811 0.638
0.811 0.638 0.434
0.362 0.566 0.189
0.566 0.189 0.362
0.189 0.362 0.566
0.759 0.759 0.759
0.241 0.241 0.241
0.573 0.847 0.331
0.847 0.331 0.573
0.331 0.573 0.847
0.427 0.153 0.669
0.153 0.669 0.427
0.669 0.427 0.153